(1)
Computed, not measured: TaSn2F2 at its PBEsol-relaxed geometry at the meta-GGA SCAN level of DFT.

**Total magnetic moment**: 0.65 μB/f.u.
**Energy relative to the elements, uncorrected**: -815 meV per atom
**Calculated volume**: 156.7 Å³/cell
**Uncorrected energy**: -29.916 eV/atom

Cell lengths 3.3602, 3.3602, 13.8783 Å; angles 90.00, 90.00, 90.00 degrees
Last column: nearest neighbours and their distance in Å.
Space group I4/mmm (No. 139)
Unique sites:
Ta: 0.0000 0.0000 0.0000 (multiplicity 2)  8 Sn 2.95
Sn: 0.0000 0.0000 0.3740 (multiplicity 4)  4 F 2.41
F: 0.0000 0.5000 0.2500 (multiplicity 4)  4 F 2.38, 4 Sn 2.41

(2)
Computed, not measured: GaP2PbO at its PBEsol-relaxed geometry at the meta-GGA SCAN level of DFT.

**Total magnetic moment**: 0.00 μB/f.u.
**Energy relative to the elements, uncorrected**: 880 meV per atom
**Calculated volume**: 111.5 Å³/cell
**Uncorrected energy**: -22.952 eV/atom

Cell lengths 5.2105, 5.2105, 4.1083 Å; angles 90.00, 90.00, 90.00 degrees
Last column: nearest neighbours and their distance in Å.
Space group P4/mmm (No. 123)
Unique sites:
Ga: 0.0000 0.0000 0.0000 (multiplicity 1)  8 P 3.32, 4 O 3.68
P: 0.0000 0.5000 0.5000 (multiplicity 2)  2 Pb 2.61
Pb: 0.5000 0.5000 0.5000 (multiplicity 1)  2 O 2.05
O: 0.5000 0.5000 0.0000 (multiplicity 1)  2 Pb 2.05

(3)
Computed, not measured: YHg at its PBEsol-relaxed geometry at the meta-GGA SCAN level of DFT.

**Total magnetic moment**: 0.00 μB/f.u.
**Formation energy**: -0.624 eV per atom
**Calculated volume**: 305.2 Å³/cell
**Uncorrected energy**: -48.628 eV/atom

Cell lengths 4.5351, 10.8196, 6.2209 Å; angles 90.00, 90.00, 90.00 degrees
Last column: nearest neighbours and their distance in Å.
Space group Imm2 (No. 44)
Unique sites:
Y: 0.0000 0.0000 0.0000 (multiplicity 2)  6 Hg 3.06-3.13
Y: 0.0000 0.3213 0.8020 (multiplicity 4)  6 Hg 2.99-3.28
Hg: 0.0000 0.0000 0.4971 (multiplicity 2)  6 Y 3.09-3.22, 4 Hg 3.25
Hg: 0.0000 0.3588 0.2790 (multiplicity 4)  6 Y 2.99-3.28, 3 Hg 3.05-3.25

(4)
Computed, not measured: LaCr3Hg at its PBEsol-relaxed geometry at the meta-GGA SCAN level of DFT.

**Total magnetic moment**: 4.85 μB/f.u.
**Formation energy**: 1.898 eV per atom
**Calculated volume**: 89.7 Å³/cell
**Uncorrected energy**: -31.387 eV/atom

Cell lengths 4.4772, 4.4772, 4.4772 Å; angles 90.00, 90.00, 90.00 degrees
Last column: nearest neighbours and their distance in Å.
Space group Pm-3m (No. 221)
Unique sites:
La: 0.0000 0.0000 0.0000 (multiplicity 1)  6 Cr 2.24
Cr: 0.0000 0.0000 0.5000 (multiplicity 3)  2 La 2.24
Hg: 0.5000 0.5000 0.5000 (multiplicity 1)  12 Cr 3.17

(5)
Computed, not measured: Mn2BeTe at its PBEsol-relaxed geometry at the meta-GGA SCAN level of DFT.

**Total magnetic moment**: 6.23 μB/f.u.
**Energy relative to the elements, uncorrected**: 233 meV per atom
**Calculated volume**: 53.7 Å³/cell
**Uncorrected energy**: -19.296 eV/atom

Cell lengths 3.0676, 3.2999, 5.3358 Å; angles 90.00, 95.96, 90.00 degrees
Last column: nearest neighbours and their distance in Å.
Space group P2/m (No. 10)
Unique sites:
Mn: 0.0409 0.0000 0.2819 (multiplicity 2)  1 Mn 2.37, 2 Be 2.39
Be: 0.5000 0.5000 0.5000 (multiplicity 1)  4 Mn 2.39, 2 Te 2.67
Te: 0.5000 0.5000 0.0000 (multiplicity 1)  2 Be 2.67, 8 Mn 2.69-2.72

(6)
Computed, not measured: Cd2InHg at its PBEsol-relaxed geometry at the meta-GGA SCAN level of DFT.

**Total magnetic moment**: 0.00 μB/f.u.
**Formation energy**: 0.017 eV per atom
**Calculated volume**: 270.1 Å³/cell
**Uncorrected energy**: -40.578 eV/atom

Cell lengths 3.3639, 3.3639, 27.5575 Å; angles 90.00, 90.00, 120.00 degrees
Last column: nearest neighbours and their distance in Å.
Space group R-3m (No. 166, hexagonal axes)
Unique sites:
Cd: 0.0000 0.0000 0.2477 (multiplicity 6)  3 Hg 2.96, 3 In 3.06
In: 0.0000 0.0000 0.0000 (multiplicity 3)  6 Cd 3.06, 6 In 3.36
Hg: 0.0000 0.0000 0.5000 (multiplicity 3)  6 Cd 2.96

- Which formula does entry 2 have?
  GaP2PbO

- Which of these has the lowest calculated volume?
  Mn2BeTe